# 1
Below is a geometry-optimized HoScH structure, with properties calculated at the GGA-PBE level.

Output
N(E_F): 3.1 states/eV/cell
magnetization: 0.000 μB/atom
crystal system: tetragonal
raw total energy: -4.858 eV per atom
energy relative to the lowest polymorph listed for this composition: 61 kJ/mol of formula units
space group: I4mm, No. 107
volume: 60 Å³ per cell

abc: 6.1612 6.1612 6.1612
angles: 149.54 149.54 43.61
Last column: nearest neighbours and their distance in Å.
Fractional coordinates of all 3 atoms:
Ho: 0.0000 0.0000 0.0000  4 H 2.31
Sc: 0.2927 0.2927 0.0000  1 H 2.06
H: 0.4725 0.4725 0.0000  1 Sc 2.06


# 2
Below is a geometry-optimized Ho2Sc4H structure, with properties calculated at the GGA-PBE level.

Output
N(E_F): 8.0 states/eV/cell
magnetization: 0.000 μB/atom
crystal system: tetragonal
raw total energy: -5.334 eV per atom
space group: I4/mmm, No. 139
volume: 166 Å³ per cell

abc: 8.7320 8.7320 8.7320
angles: 150.00 150.00 42.94
Last column: nearest neighbours and their distance in Å.
Fractional coordinates of all 7 atoms:
Ho: 0.1540 0.1540 0.0000  9 Sc 3.20-3.37
Ho: 0.8460 0.8460 0.0000  9 Sc 3.20-3.37
Sc: 0.0000 0.5000 0.5000  2 H 2.26
Sc: 0.3580 0.3580 0.0000  1 H 2.31
Sc: 0.5000 0.0000 0.5000  2 H 2.26
Sc: 0.6420 0.6420 0.0000  1 H 2.31
H: 0.5000 0.5000 0.0000  6 Sc 2.26-2.31


# 3
Below is a geometry-optimized Ho2ScH structure, with properties calculated at the GGA-PBE level.

Output
N(E_F): 3.5 states/eV/cell
magnetization: 0.000 μB/atom
crystal system: tetragonal
raw total energy: -4.611 eV per atom
energy relative to the lowest polymorph listed for this composition: 100 kJ/mol of formula units
space group: P4/mmm, No. 123
volume: 86 Å³ per cell

abc: 3.2528 3.2528 8.1252
angles: 90.00 90.00 90.00
Last column: nearest neighbours and their distance in Å.
Fractional coordinates of all 4 atoms:
Ho: 0.0000 0.0000 0.1978  4 H 2.81
Ho: 0.0000 0.0000 0.8022  4 H 2.81
Sc: 0.5000 0.5000 0.5000  4 Sc 3.25, 8 Ho 3.36
H: 0.5000 0.5000 0.0000  8 Ho 2.81


# 4
Below is a geometry-optimized Ho2HSe structure, with properties calculated at the GGA-PBE level.

Output
N(E_F): 4.9 states/eV/cell
magnetization: 0.000 μB/atom
crystal system: orthorhombic
raw total energy: -5.055 eV per atom
energy relative to the lowest polymorph listed for this composition: 0 kJ/mol of formula units
space group: Pmn2_1, No. 31
volume: 162 Å³ per cell

abc: 3.9127 9.5274 4.3535
angles: 90.00 90.00 90.00
Last column: nearest neighbours and their distance in Å.
Fractional coordinates of all 8 atoms:
Ho: 0.0000 0.0759 0.0000  3 H 2.21-2.24
Ho: 0.0000 0.6842 0.9997  1 H 2.20
Ho: 0.5000 0.3158 0.4997  1 H 2.20
Ho: 0.5000 0.9241 0.5000  3 H 2.21-2.24
H: 0.0000 0.8794 0.7302  4 Ho 2.20-2.24
H: 0.5000 0.1206 0.2302  4 Ho 2.20-2.24
Se: 0.0000 0.3745 0.0032  6 Ho 2.85-2.99
Se: 0.5000 0.6255 0.5032  6 Ho 2.85-2.99


# 5
Below is a geometry-optimized HoHSe structure, with properties calculated at the GGA-PBE level.

Output
magnetization: 0.000 μB/atom
crystal system: orthorhombic
raw total energy: -5.021 eV per atom
energy relative to the lowest polymorph listed for this composition: 67 kJ/mol of formula units
space group: Cmcm, No. 63
volume: 116 Å³ per cell

abc: 5.5668 5.5668 5.7090
angles: 90.00 90.00 138.92
Last column: nearest neighbours and their distance in Å.
Fractional coordinates of all 6 atoms:
Ho: 0.1430 0.8570 0.7500  2 H 2.09
Ho: 0.8570 0.1430 0.2500  2 H 2.09
H: 0.4272 0.5728 0.2500  2 Ho 2.09
H: 0.5728 0.4272 0.7500  2 Ho 2.09
Se: 0.1449 0.8551 0.2500  5 Ho 2.85-3.00, 3 H 2.94-2.99
Se: 0.8551 0.1449 0.7500  5 Ho 2.85-3.00, 3 H 2.94-2.99


# 6
Below is a geometry-optimized Ho2H4Se structure, with properties calculated at the GGA-PBE level.

Output
magnetization: 0.000 μB/atom
crystal system: trigonal
raw total energy: -4.701 eV per atom
space group: R-3m, No. 166
volume: 86 Å³ per cell

abc: 7.4210 7.4210 7.4210
angles: 29.13 29.13 29.13
Last column: nearest neighbours and their distance in Å.
Fractional coordinates of all 7 atoms:
Ho: 0.2408 0.2408 0.2408  7 H 2.16-2.36
Ho: 0.7592 0.7592 0.7592  7 H 2.16-2.36
H: 0.1375 0.1375 0.1375  4 Ho 2.20-2.36, 3 H 2.29
H: 0.4342 0.4342 0.4342  3 Ho 2.16, 3 H 2.29
H: 0.5658 0.5658 0.5658  3 Ho 2.16, 3 H 2.29
H: 0.8625 0.8625 0.8625  4 Ho 2.20-2.36, 3 H 2.29
Se: 0.0000 0.0000 0.0000  6 Ho 2.92, 8 H 2.93-3.04